(1)
The following is a PBE calculation of a relaxed CePr2Er crystal, from Alexandria via LeMat-Bulk.

```
4
Lattice="-1.945 -0.131 3.012 3.015 -0.020 1.945 -0.154 10.271 0.347" Properties=species:S:1:pos:R:3 pbc="T T T"
Pr -0.115 7.667 0.259
Pr -0.039 2.604 0.088
Ce 0.458 5.060 2.652
Er 0.535 -0.076 2.479
```

Output
Relative energy among the computed polymorphs in eV per formula unit: 0.02
E in eV/atom: -4.941
Crystal system: tetragonal
Energy of formation from the pure elements in meV per atom: 72.5



(2)
The following is a PBE calculation of a relaxed CePr5Er12 crystal, from Alexandria via LeMat-Bulk.

```
18
Lattice="-6.952 -8.367 3.657 -4.504 -6.878 -6.291 4.646 -3.610 0.609" Properties=species:S:1:pos:R:3 pbc="T T T"
Ce 0.000 0.000 0.000
Pr -1.153 -5.988 2.133
Pr -1.838 -7.784 -3.279
Pr -4.971 -11.070 1.255
Pr -7.643 -10.176 -1.796
Pr -3.814 -5.068 -0.838
Er -3.679 -8.496 3.285
Er 1.374 -3.480 0.981
Er -0.368 -9.115 3.071
Er -1.938 -2.861 1.195
Er -0.965 -10.885 -2.363
Er -9.663 -13.052 -0.543
Er 2.854 -5.802 -1.482
Er -5.844 -7.969 0.339
Er -2.505 -8.555 0.117
Er -6.325 -13.641 -0.776
Er -0.484 -5.213 -1.248
Er -4.305 -10.299 -2.141
```

Output
E in eV/atom: -4.593
Crystal system: monoclinic
Energy of formation from the pure elements in meV per atom: 105.9



(3)
The following is a PBE calculation of a relaxed CePr2Er crystal, from Alexandria via LeMat-Bulk.

```
4
Lattice="-1.538 0.945 -2.985 -3.480 0.010 -0.242 -1.910 12.276 2.831" Properties=species:S:1:pos:R:3 pbc="T T T"
Pr -1.847 9.113 1.798
Pr -5.080 4.118 -2.194
Ce 0.000 0.000 0.000
Er -3.464 6.616 -0.198
```

Output
Relative energy among the computed polymorphs in eV per formula unit: 0.50
E in eV/atom: -4.822
Crystal system: trigonal
Energy of formation from the pure elements in meV per atom: 191.9



(4)
The following is a PBE calculation of a relaxed Ce2PrEr crystal, from Alexandria via LeMat-Bulk.

```
4
Lattice="-0.426 2.845 -2.027 -0.042 -0.326 -3.503 -11.693 -0.686 -1.562" Properties=species:S:1:pos:R:3 pbc="T T T"
Ce -8.736 -0.295 -1.634
Ce -3.138 0.445 -1.771
Pr -11.954 1.000 -5.250
Er -6.105 0.913 -3.546
```

Output
Relative energy among the computed polymorphs in eV per formula unit: 0.00
E in eV/atom: -5.198
Crystal system: trigonal
Energy of formation from the pure elements in meV per atom: 104.3



(5)
The following is a PBE calculation of a relaxed CePr4Er4 crystal, from Alexandria via LeMat-Bulk.

```
9
Lattice="-3.164 -2.385 -3.192 -5.600 -3.829 4.356 -6.026 5.029 -1.841" Properties=species:S:1:pos:R:3 pbc="T T T"
Ce 0.000 0.000 0.000
Pr -8.934 2.965 -1.472
Pr -5.855 -4.151 0.794
Pr -11.740 -2.047 0.999
Pr -3.049 0.861 -1.677
Er -5.743 -0.852 2.273
Er -9.046 -0.333 -2.951
Er -6.007 -1.180 -1.274
Er -8.782 -0.005 0.597
```

Output
E in eV/atom: -4.763
Crystal system: tetragonal
Energy of formation from the pure elements in meV per atom: 48.5



(6)
The following is a PBE calculation of a relaxed CePr14Er crystal, from Alexandria via LeMat-Bulk.

```
16
Lattice="-5.845 0.537 4.463 -4.095 -3.653 -4.925 2.629 -9.062 4.535" Properties=species:S:1:pos:R:3 pbc="T T T"
Ce -5.626 0.013 3.289
Pr -3.437 -6.613 0.862
Pr -4.312 -4.518 5.556
Pr -7.671 -1.811 0.829
Pr -6.364 -6.346 3.093
Pr -2.708 -0.255 1.060
Pr -1.385 -4.785 3.325
Pr -5.261 -9.694 1.898
Pr -6.596 -5.093 -0.405
Pr -0.278 -8.133 2.130
Pr -1.613 -3.531 -0.173
Pr -2.330 -9.968 -0.336
Pr -3.667 -5.357 -2.643
Pr -3.209 -7.860 4.362
Pr -4.541 -3.267 2.064
Er -4.752 -2.080 -1.403
```

Output
E in eV/atom: -4.808
Crystal system: orthorhombic
Energy of formation from the pure elements in meV per atom: 30.5